Entry 1:
This record from Alexandria via LeMat-Bulk describes a geometry-optimized TlIn3P structure. The functional is PBE.

## Properties
- E above lowest polymorph: 0.0 meV/atom
- Formation energy: 0.27 eV per atom
- Total moment: 0.00 μB/cell

a = 5.293 Å, b = 5.293 Å, c = 5.293 Å
α = 90.00°, β = 90.00°, γ = 90.00°
Space group Pm-3m (No. 221)
Asymmetric unit:
Tl 0.000 0.000 0.000 x1
In 0.000 0.500 0.500 x3
P 0.500 0.500 0.500 x1



Entry 2:
This record from Alexandria via LeMat-Bulk describes a geometry-optimized Ce2Ho5Tm12 structure. The functional is PBE.

## Properties
- Formation energy: 0.14 eV per atom
- Total moment: 2.05 μB/cell

a = 15.254 Å, b = 9.110 Å, c = 8.481 Å
α = 90.00°, β = 92.47°, γ = 90.00°
Space group C2/m (No. 12)
Asymmetric unit:
Ce 0.000 0.150 0.000 x4
Ho 0.000 0.500 0.500 x2
Ho 0.214 0.000 0.036 x4
Ho 0.231 0.500 0.565 x4
Tm 0.059 0.000 0.341 x4
Tm 0.068 0.500 0.870 x4
Tm 0.132 0.191 0.682 x8
Tm 0.145 0.321 0.238 x8



Entry 3:
This record from Alexandria via LeMat-Bulk describes a geometry-optimized Ce4GaPb3 structure. The functional is PBE.

## Properties
- Formation energy: -0.18 eV per atom
- Total moment: 8.12 μB/cell

a = 14.735 Å, b = 5.766 Å, c = 5.560 Å
α = 90.00°, β = 109.60°, γ = 90.00°
Space group C2/m (No. 12)
Asymmetric unit:
Ce 0.115 0.000 0.101 x4
Ce 0.240 0.000 0.776 x4
Ga 0.000 0.000 0.500 x2
Pb 0.000 0.500 0.000 x2
Pb 0.132 0.500 0.613 x4



Entry 4:
This record from Alexandria via LeMat-Bulk describes a geometry-optimized Hg2SbClF structure. The functional is PBE.

## Properties
- Raw formation energy: -711.1 meV/atom
- Total moment: 0.00 μB/cell

a = 5.639 Å, b = 5.639 Å, c = 4.332 Å
α = 90.00°, β = 90.00°, γ = 90.00°
Space group P4/mmm (No. 123)
Asymmetric unit:
Hg 0.000 0.500 0.000 x2
Sb 0.000 0.000 0.000 x1
Cl 0.500 0.500 0.500 x1
F 0.000 0.000 0.500 x1



Entry 5:
This record from Alexandria via LeMat-Bulk describes a geometry-optimized NaSrSn structure. The functional is PBE.

## Properties
- E above lowest polymorph: 0.0 meV/atom
- Formation energy: -0.41 eV per atom
- Total moment: 0.00 μB/cell

a = 4.157 Å, b = 5.250 Å, c = 9.225 Å
α = 90.00°, β = 90.00°, γ = 90.00°
Space group Pmmn (No. 59, origin choice 2)
Asymmetric unit:
Na 0.250 0.250 0.015 x2
Sr 0.250 0.750 0.640 x2
Sn 0.250 0.750 0.258 x2



Entry 6:
This record from Alexandria via LeMat-Bulk describes a geometry-optimized Ac3Ga7Ir4 structure. The functional is PBE.

## Properties
- Formation energy: -0.61 eV per atom
- Total moment: 0.00 μB/cell

a = 17.073 Å, b = 4.363 Å, c = 9.492 Å
α = 90.00°, β = 123.27°, γ = 90.00°
Space group C2/m (No. 12)
Asymmetric unit:
Ac 0.000 0.000 0.000 x2
Ac 0.196 0.500 0.663 x4
Ga 0.000 0.000 0.500 x2
Ga 0.011 0.500 0.718 x4
Ga 0.153 0.500 0.289 x4
Ga 0.171 0.000 0.904 x4
Ir 0.103 0.000 0.374 x4
Ir 0.156 0.500 0.022 x4



Entry 7:
This record from Alexandria via LeMat-Bulk describes a geometry-optimized Er4InBiC structure. The functional is PBE.

## Properties
- Formation energy: -0.57 eV per atom
- Total moment: 0.00 μB/cell

a = 6.765 Å, b = 15.890 Å, c = 6.764 Å
α = 90.00°, β = 90.00°, γ = 90.00°
Space group Cmcm (No. 63)
Asymmetric unit:
Er 0.000 0.091 0.250 x4
Er 0.000 0.404 0.250 x4
Er 0.250 0.250 0.000 x8
In 0.000 0.111 0.750 x4
Bi 0.000 0.394 0.750 x4
C 0.000 0.250 0.250 x4



Entry 8:
This record from Alexandria via LeMat-Bulk describes a geometry-optimized CdCoSe3 structure. The functional is PBE.

## Properties
- Raw formation energy: 233.8 meV/atom
- E above lowest polymorph: 0.0 meV/atom
- Total moment: 1.17 μB/cell

a = 4.755 Å, b = 4.755 Å, c = 4.755 Å
α = 90.00°, β = 90.00°, γ = 90.00°
Space group Pm-3m (No. 221)
Asymmetric unit:
Cd 0.000 0.000 0.000 x1
Co 0.500 0.500 0.500 x1
Se 0.000 0.500 0.500 x3



Entry 9:
This record from Alexandria via LeMat-Bulk describes a geometry-optimized Rb2HfPdBr6 structure. The functional is PBE.

## Properties
- Raw formation energy: -1240.4 meV/atom
- Total moment: 0.00 μB/cell

a = 10.958 Å, b = 10.958 Å, c = 10.958 Å
α = 90.00°, β = 90.00°, γ = 90.00°
Space group Fm-3m (No. 225)
Asymmetric unit:
Rb 0.250 0.250 0.250 x8
Hf 0.000 0.000 0.000 x4
Pd 0.000 0.000 0.500 x4
Br 0.000 0.000 0.241 x24



Entry 10:
This record from Alexandria via LeMat-Bulk describes a geometry-optimized La2TaBe structure. The functional is PBE.

## Properties
- Formation energy: 0.37 eV per atom
- Total moment: 0.00 μB/cell

a = 3.684 Å, b = 5.080 Å, c = 10.339 Å
α = 90.00°, β = 90.00°, γ = 90.00°
Space group Imm2 (No. 44)
Asymmetric unit:
La 0.000 0.000 0.000 x2
La 0.000 0.500 0.198 x2
Ta 0.000 0.500 0.789 x2
Be 0.000 0.000 0.444 x2



Entry 11:
This record from Alexandria via LeMat-Bulk describes a geometry-optimized TlBi2Pd6 structure. The functional is PBE.

## Properties
- Formation energy: -0.15 eV per atom
- Total moment: 0.00 μB/cell

a = 4.638 Å, b = 7.840 Å, c = 9.791 Å
α = 90.00°, β = 90.00°, γ = 90.00°
Space group Immm (No. 71)
Asymmetric unit:
Tl 0.000 0.000 0.000 x2
Bi 0.000 0.000 0.330 x4
Pd 0.000 0.296 0.500 x4
Pd 0.000 0.300 0.164 x8



Entry 12:
This record from Alexandria via LeMat-Bulk describes a geometry-optimized CrReIr2 structure. The functional is PBE.

## Properties
- E above lowest polymorph: 554.1 meV/atom
- Formation energy: 0.29 eV per atom
- Total moment: 0.14 μB/cell

a = 6.113 Å, b = 6.113 Å, c = 6.113 Å
α = 90.00°, β = 90.00°, γ = 90.00°
Space group F-43m (No. 216)
Asymmetric unit:
Cr 0.000 0.000 0.000 x4
Re 0.250 0.250 0.250 x4
Ir 0.000 0.000 0.500 x4
Ir 0.250 0.250 0.750 x4



Entry 13:
This record from Alexandria via LeMat-Bulk describes a geometry-optimized Ta2PIr structure. The functional is PBE.

## Properties
- Formation energy: 0.32 eV per atom
- Total moment: 0.00 μB/cell

a = 5.724 Å, b = 5.724 Å, c = 11.327 Å
α = 90.00°, β = 90.00°, γ = 90.00°
Space group I-42d (No. 122)
Asymmetric unit:
Ta 0.243 0.250 0.125 x8
P 0.000 0.000 0.000 x4
Ir 0.000 0.000 0.500 x4